Record 1
Below is a relaxed structure of Hf2BBr, with properties calculated at the PBE level.

a b c (Å): 4.540 4.540 4.540
angles (deg): 60.00 60.00 60.00
Fractional positions:
Hf1 0.250 0.250 0.250
Hf2 0.750 0.750 0.750
B1 0.000 0.000 0.000
Br1 0.500 0.500 0.500

Calculated values
energy relative to the lowest polymorph listed for this composition: 0.68 eV per formula unit
ΔE_f (raw): 0.22 eV/atom
symmetry: No. 225
theoretical density: 11.233 g/cm³

Record 2
Below is a relaxed structure of TcAg2Au, with properties calculated at the PBE level.

a b c (Å): 9.876 9.876 9.876
angles (deg): 16.50 16.50 16.50
Fractional positions:
Tc1 0.000 0.000 0.000
Ag1 0.253 0.253 0.253
Ag2 0.747 0.747 0.747
Au1 0.500 0.500 0.500

Calculated values
energy relative to the lowest polymorph listed for this composition: 0.21 eV per formula unit
energy of formation from the pure elements: 0.344 eV per atom
symmetry: No. 166
theoretical density: 12.510 g/cm³

Record 3
Below is a relaxed structure of MgBi2Pb2, with properties calculated at the PBE level.

a b c (Å): 8.874 8.874 4.103
angles (deg): 90.00 90.00 90.00
Fractional positions:
Mg1 0.000 0.000 0.000
Mg2 0.500 0.500 0.000
Bi1 0.156 0.344 0.500
Bi2 0.344 0.844 0.500
Bi3 0.656 0.156 0.500
Bi4 0.844 0.656 0.500
Pb1 0.141 0.641 0.000
Pb2 0.359 0.141 0.000
Pb3 0.641 0.859 0.000
Pb4 0.859 0.359 0.000

Calculated values
energy relative to the lowest polymorph listed for this composition: 0.73 eV per formula unit
energy of formation from the pure elements: 0.142 eV per atom
symmetry: No. 127
theoretical density: 8.805 g/cm³

Record 4
Below is a relaxed structure of TbPrCoRu, with properties calculated at the PBE level.

a b c (Å): 4.884 4.884 4.884
angles (deg): 60.00 60.00 60.00
Fractional positions:
Tb1 0.000 0.000 0.000
Pr1 0.500 0.500 0.500
Co1 0.750 0.750 0.750
Ru1 0.250 0.250 0.250

Calculated values
energy of formation from the pure elements: -0.061 eV per atom
symmetry: No. 216
theoretical density: 9.271 g/cm³

Record 5
Below is a relaxed structure of KMn4Se, with properties calculated at the PBE level.

a b c (Å): 5.605 5.605 5.605
angles (deg): 60.00 60.00 60.00
Fractional positions:
K1 0.000 0.000 0.000
Mn1 0.125 0.625 0.625
Mn2 0.625 0.125 0.625
Mn3 0.625 0.625 0.125
Mn4 0.625 0.625 0.625
Se1 0.250 0.250 0.250

Calculated values
ΔE_f (raw): 0.70 eV/atom
symmetry: No. 216
theoretical density: 4.506 g/cm³

Record 6
Below is a relaxed structure of Dy3Ho5Tm4, with properties calculated at the PBE level.

a b c (Å): 6.074 7.023 8.584
angles (deg): 89.98 89.96 89.91
Fractional positions:
Dy1 0.000 0.000 0.000
Dy2 0.166 0.251 0.334
Dy3 0.834 0.749 0.666
Ho1 0.000 0.500 0.000
Ho2 0.333 0.000 0.666
Ho3 0.499 0.749 0.000
Ho4 0.501 0.251 0.000
Ho5 0.667 0.000 0.334
Tm1 0.167 0.749 0.334
Tm2 0.334 0.500 0.666
Tm3 0.666 0.500 0.334
Tm4 0.833 0.251 0.666

Calculated values
energy relative to the lowest polymorph listed for this composition: 0.00 eV per formula unit
energy of formation from the pure elements: 0.022 eV per atom
symmetry: No. 2
theoretical density: 9.015 g/cm³

Record 7
Below is a relaxed structure of Er3TlSe4O12, with properties calculated at the PBE level.

a b c (Å): 7.582 7.582 7.582
angles (deg): 107.47 107.47 107.47
Fractional positions:
Er1 0.000 0.567 0.433
Er2 0.433 0.000 0.567
Er3 0.567 0.433 0.000
Tl1 0.000 0.000 0.000
Se1 0.066 0.500 0.934
Se2 0.500 0.500 0.500
Se3 0.500 0.934 0.066
Se4 0.934 0.066 0.500
O1 0.081 0.626 0.777
O2 0.116 0.884 0.500
O3 0.223 0.374 0.919
O4 0.344 0.656 0.500
O5 0.374 0.919 0.223
O6 0.500 0.116 0.884
O7 0.500 0.344 0.656
O8 0.626 0.777 0.081
O9 0.656 0.500 0.344
O10 0.777 0.081 0.626
O11 0.884 0.500 0.116
O12 0.919 0.223 0.374

Calculated values
ΔE_f (raw): -1.53 eV/atom
symmetry: No. 155
theoretical density: 5.627 g/cm³

Record 8
Below is a relaxed structure of Sr2TlInH, with properties calculated at the PBE level.

a b c (Å): 5.229 5.229 4.930
angles (deg): 90.00 90.00 90.00
Fractional positions:
Sr1 0.000 0.500 0.000
Sr2 0.500 0.000 0.000
Tl1 0.000 0.000 0.500
In1 0.500 0.500 0.500
H1 0.000 0.000 0.000

Calculated values
energy relative to the lowest polymorph listed for this composition: 0.11 eV per formula unit
symmetry: No. 123
theoretical density: 6.104 g/cm³

Record 9
Below is a relaxed structure of Tb4PmDyS8, with properties calculated at the PBE level.

a b c (Å): 8.108 8.108 8.108
angles (deg): 60.06 60.06 60.06
Fractional positions:
Tb1 0.000 0.000 0.000
Tb2 0.375 0.375 0.877
Tb3 0.375 0.877 0.375
Tb4 0.877 0.375 0.375
Pm1 0.750 0.750 0.750
Dy1 0.375 0.375 0.375
S1 0.132 0.132 0.132
S2 0.133 0.133 0.603
S3 0.133 0.603 0.133
S4 0.155 0.614 0.614
S5 0.603 0.133 0.133
S6 0.614 0.155 0.614
S7 0.614 0.614 0.155
S8 0.615 0.615 0.615

Calculated values
ΔE_f (raw): -1.93 eV/atom
symmetry: No. 160
theoretical density: 5.278 g/cm³

Record 10
Below is a relaxed structure of CaGa2CoGe, with properties calculated at the PBE level.

a b c (Å): 4.596 4.596 4.586
angles (deg): 90.00 90.00 90.00
Fractional positions:
Ca1 0.000 0.000 0.000
Ga1 0.000 0.500 0.500
Ga2 0.500 0.000 0.500
Co1 0.500 0.500 0.500
Ge1 0.500 0.500 0.000

Calculated values
energy of formation from the pure elements: -0.251 eV per atom
symmetry: No. 123
theoretical density: 5.334 g/cm³

Record 11
Below is a relaxed structure of AlBiW3, with properties calculated at the PBE level.

a b c (Å): 4.994 4.994 4.994
angles (deg): 90.00 90.00 90.00
Fractional positions:
Al1 0.000 0.000 0.000
Bi1 0.500 0.500 0.500
W1 0.000 0.500 0.500
W2 0.500 0.000 0.500
W3 0.500 0.500 0.000

Calculated values
energy relative to the lowest polymorph listed for this composition: 5.99 eV per formula unit
energy of formation from the pure elements: 3.052 eV per atom
symmetry: No. 221
theoretical density: 10.499 g/cm³

Record 12
Below is a relaxed structure of Ac6LaAu3, with properties calculated at the PBE level.

a b c (Å): 9.833 9.833 7.772
angles (deg): 90.00 90.00 95.59
Fractional positions:
Ac1 0.024 0.438 0.333
Ac2 0.048 0.952 0.500
Ac3 0.246 0.754 0.119
Ac4 0.283 0.360 0.982
Ac5 0.360 0.283 0.482
Ac6 0.438 0.024 0.833
Ac7 0.562 0.976 0.333
Ac8 0.640 0.717 0.982
Ac9 0.717 0.640 0.482
Ac10 0.754 0.246 0.619
Ac11 0.952 0.048 0.000
Ac12 0.976 0.562 0.833
La1 0.333 0.667 0.609
La2 0.667 0.333 0.109
Au1 0.076 0.259 0.688
Au2 0.259 0.076 0.188
Au3 0.450 0.550 0.266
Au4 0.550 0.450 0.766
Au5 0.741 0.924 0.688
Au6 0.924 0.741 0.188

Calculated values
energy of formation from the pure elements: -0.432 eV per atom
symmetry: No. 36
theoretical density: 9.289 g/cm³

Record 13
Below is a relaxed structure of Pm2Tl2RuO6, with properties calculated at the PBE level.

a b c (Å): 5.946 5.946 6.748
angles (deg): 97.16 97.16 119.87
Fractional positions:
Pm1 0.165 0.835 0.000
Pm2 0.835 0.165 0.000
Tl1 0.341 0.659 0.500
Tl2 0.659 0.341 0.500
Ru1 0.500 0.500 0.000
O1 0.157 0.457 0.837
O2 0.258 0.258 0.177
O3 0.457 0.157 0.837
O4 0.543 0.843 0.163
O5 0.742 0.742 0.823
O6 0.843 0.543 0.163

Calculated values
ΔE_f (raw): -1.81 eV/atom
symmetry: No. 12
theoretical density: 7.425 g/cm³

Record 14
Below is a relaxed structure of NbAl2Au, with properties calculated at the PBE level.

a b c (Å): 5.804 5.804 5.804
angles (deg): 104.18 104.18 120.67
Fractional positions:
Nb1 0.000 0.000 0.000
Nb2 0.750 0.250 0.500
Al1 0.149 0.625 0.024
Al2 0.375 0.399 0.524
Al3 0.601 0.125 0.976
Al4 0.875 0.851 0.476
Au1 0.250 0.750 0.500
Au2 0.500 0.500 0.000

Calculated values
energy of formation from the pure elements: 0.027 eV per atom
symmetry: No. 122
theoretical density: 7.814 g/cm³

Record 15
Below is a relaxed structure of MnCd2Pd5, with properties calculated at the PBE level.

a b c (Å): 7.960 7.960 7.960
angles (deg): 149.34 149.34 43.92
Fractional positions:
Mn1 0.000 0.000 0.000
Cd1 0.250 0.250 0.000
Cd2 0.750 0.750 0.000
Pd1 0.120 0.620 0.500
Pd2 0.380 0.880 0.500
Pd3 0.500 0.500 0.000
Pd4 0.620 0.120 0.500
Pd5 0.880 0.380 0.500

Calculated values
energy of formation from the pure elements: -0.295 eV per atom
symmetry: No. 139
theoretical density: 10.306 g/cm³

Record 16
Below is a relaxed structure of AgOsBr6, with properties calculated at the PBE level.

a b c (Å): 7.155 7.155 7.155
angles (deg): 55.41 55.41 55.41
Fractional positions:
Ag1 0.000 0.000 0.000
Os1 0.500 0.500 0.500
Br1 0.107 0.720 0.437
Br2 0.280 0.563 0.893
Br3 0.437 0.107 0.720
Br4 0.563 0.893 0.280
Br5 0.720 0.437 0.107
Br6 0.893 0.280 0.563

Calculated values
energy relative to the lowest polymorph listed for this composition: 0.14 eV per formula unit
ΔE_f (raw): -0.14 eV/atom
symmetry: No. 148
theoretical density: 5.578 g/cm³

Record 17
Below is a relaxed structure of NpUAl4, with properties calculated at the PBE level.

a b c (Å): 5.464 5.464 5.464
angles (deg): 60.00 60.00 60.00
Fractional positions:
Np1 0.000 0.000 0.000
U1 0.750 0.750 0.750
Al1 0.375 0.375 0.375
Al2 0.375 0.375 0.875
Al3 0.375 0.875 0.375
Al4 0.875 0.375 0.375

Calculated values
energy of formation from the pure elements: -0.155 eV per atom
symmetry: No. 216
theoretical density: 8.393 g/cm³

The calculation returns the following spin magnetization values, one per record and in order: 0.0; 0.5; 0.0; 0.0; 17.0; 0.0; 0.9; 0.0; 0.0; 0.0; 0.0; 0.0; 2.0; 0.0; 4.8; 2.9; 7.1 μB/cell.
The calculation returns the following raw total energy values, one per record and in order: -6.84; -4.49; -3.21; -6.51; -6.17; -4.53; -6.00; -2.67; -6.28; -4.21; -6.24; -4.37; -6.66; -5.18; -4.92; -3.15; -6.69 eV/atom.